DFT (PBE) results for a relaxed Th2HgH crystal.

Output
Uncorrected energy ... -4.860 eV per atom
Size of the total moment ... 0.000 μB/f.u.
Polymorph energy (0 for the lowest one) ... 0.0 kJ per mole of atoms
Space-group type ... No. 62

a = 7.9926 Å, b = 4.4881 Å, c = 10.3425 Å
α = 90.00°, β = 90.00°, γ = 90.00°
Sites, in units of the cell vectors:
Th 0.0526 0.2500 0.1694
Th 0.1358 0.2500 0.5741
Th 0.3642 0.7500 0.0741
Th 0.4474 0.7500 0.6694
Th 0.5526 0.2500 0.3306
Th 0.6358 0.2500 0.9259
Th 0.8642 0.7500 0.4259
Th 0.9474 0.7500 0.8306
Hg 0.2361 0.2500 0.8697
Hg 0.2639 0.7500 0.3697
Hg 0.7361 0.2500 0.6303
Hg 0.7639 0.7500 0.1303
H 0.1457 0.7500 0.6529
H 0.3543 0.2500 0.1529
H 0.6457 0.7500 0.8471
H 0.8543 0.2500 0.3471